(1)
First-principles (PBE) data for a relaxed YTiCrB2 crystal, as listed in the Alexandria database. Values from VASP.

Geometry as Quantum ESPRESSO input:
```
&SYSTEM
  ibrav = 0, nat = 5, ntyp = 4
/
ATOMIC_SPECIES
Y 88.91 Y.upf
Ti 47.87 Ti.upf
Cr 52.00 Cr.upf
B 10.81 B.upf
CELL_PARAMETERS angstrom
4.4254 0.0000 0.0000
0.0000 4.4254 0.0000
0.0000 0.0000 4.4469
ATOMIC_POSITIONS crystal
Y 0.0000 0.0000 0.0000
Ti 0.5000 0.5000 0.5000
Cr 0.0000 0.0000 0.5000
B 0.0000 0.5000 0.0000
B 0.5000 0.0000 0.0000
```

Summary:
- Mass density: 4.01 Mg/m³
- Excess energy over the best structure of this formula in the dataset: 1856.8 meV/atom



(2)
First-principles (PBE) data for a relaxed ZrTi2CrB crystal, as listed in the Alexandria database. Values from VASP.

Geometry as Quantum ESPRESSO input:
```
&SYSTEM
  ibrav = 0, nat = 5, ntyp = 4
/
ATOMIC_SPECIES
Zr 91.22 Zr.upf
Ti 47.87 Ti.upf
Cr 52.00 Cr.upf
B 10.81 B.upf
CELL_PARAMETERS angstrom
4.7593 0.0000 0.0000
0.0000 4.7593 0.0000
0.0000 0.0000 4.1455
ATOMIC_POSITIONS crystal
Zr 0.0000 0.0000 0.0000
Ti 0.0000 0.5000 0.0000
Ti 0.5000 0.0000 0.0000
Cr 0.5000 0.5000 0.5000
B 0.0000 0.0000 0.5000
```

Summary:
- Mass density: 4.42 Mg/m³



(3)
First-principles (PBE) data for a relaxed TlCrB3 crystal, as listed in the Alexandria database. Values from VASP.

Geometry as Quantum ESPRESSO input:
```
&SYSTEM
  ibrav = 0, nat = 5, ntyp = 3
/
ATOMIC_SPECIES
Tl 204.38 Tl.upf
Cr 52.00 Cr.upf
B 10.81 B.upf
CELL_PARAMETERS angstrom
4.4064 0.0000 0.0000
0.0000 4.4064 0.0000
0.0000 0.0000 4.4064
ATOMIC_POSITIONS crystal
Tl 0.0000 0.0000 0.0000
Cr 0.5000 0.5000 0.5000
B 0.0000 0.0000 0.5000
B 0.0000 0.5000 0.0000
B 0.5000 0.0000 0.0000
```

Summary:
- Mass density: 5.61 Mg/m³
- Excess energy over the best structure of this formula in the dataset: 1853.3 meV/atom



(4)
First-principles (PBE) data for a relaxed Tl2Cr4B crystal, as listed in the Alexandria database. Values from VASP.

Geometry as Quantum ESPRESSO input:
```
&SYSTEM
  ibrav = 0, nat = 7, ntyp = 3
/
ATOMIC_SPECIES
Tl 204.38 Tl.upf
Cr 52.00 Cr.upf
B 10.81 B.upf
CELL_PARAMETERS angstrom
-2.0430 2.0430 6.9509
2.0430 -2.0430 6.9509
2.0430 2.0430 -6.9509
ATOMIC_POSITIONS crystal
Tl 0.1461 0.1461 0.0000
Tl 0.8539 0.8539 0.0000
Cr 0.0000 0.5000 0.5000
Cr 0.3482 0.3482 0.0000
Cr 0.5000 0.0000 0.5000
Cr 0.6518 0.6518 0.0000
B 0.5000 0.5000 0.0000
```

Summary:
- Mass density: 8.98 Mg/m³



(5)
First-principles (PBE) data for a relaxed TlCrB3 crystal, as listed in the Alexandria database. Values from VASP.

Geometry as Quantum ESPRESSO input:
```
&SYSTEM
  ibrav = 0, nat = 5, ntyp = 3
/
ATOMIC_SPECIES
Tl 204.38 Tl.upf
Cr 52.00 Cr.upf
B 10.81 B.upf
CELL_PARAMETERS angstrom
4.0823 0.0000 0.0000
0.0000 4.0823 0.0000
0.0000 0.0000 4.0823
ATOMIC_POSITIONS crystal
Tl 0.0000 0.0000 0.0000
Cr 0.5000 0.5000 0.5000
B 0.0000 0.5000 0.5000
B 0.5000 0.0000 0.5000
B 0.5000 0.5000 0.0000
```

Summary:
- Mass density: 7.05 Mg/m³
- Excess energy over the best structure of this formula in the dataset: 0.0 meV/atom



(6)
First-principles (PBE) data for a relaxed Tl2CrB crystal, as listed in the Alexandria database. Values from VASP.

Geometry as Quantum ESPRESSO input:
```
&SYSTEM
  ibrav = 0, nat = 8, ntyp = 3
/
ATOMIC_SPECIES
Tl 204.38 Tl.upf
Cr 52.00 Cr.upf
B 10.81 B.upf
CELL_PARAMETERS angstrom
-4.4913 4.4913 2.1388
4.4913 -4.4913 2.1388
4.4913 4.4913 -2.1388
ATOMIC_POSITIONS crystal
Tl 0.3750 0.2409 0.3659
Tl 0.7591 0.1250 0.1341
Tl 0.8750 0.0091 0.6341
Tl 0.9909 0.6250 0.8659
Cr 0.2500 0.7500 0.5000
Cr 0.5000 0.5000 0.0000
B 0.0000 0.0000 0.0000
B 0.7500 0.2500 0.5000
```

Summary:
- Mass density: 9.08 Mg/m³
- Excess energy over the best structure of this formula in the dataset: 0.0 meV/atom



(7)
First-principles (PBE) data for a relaxed Tl3CrB crystal, as listed in the Alexandria database. Values from VASP.

Geometry as Quantum ESPRESSO input:
```
&SYSTEM
  ibrav = 0, nat = 5, ntyp = 3
/
ATOMIC_SPECIES
Tl 204.38 Tl.upf
Cr 52.00 Cr.upf
B 10.81 B.upf
CELL_PARAMETERS angstrom
5.2827 0.0000 0.0000
0.0000 5.2827 0.0000
0.0000 0.0000 5.2827
ATOMIC_POSITIONS crystal
Tl 0.0000 0.0000 0.5000
Tl 0.0000 0.5000 0.0000
Tl 0.5000 0.0000 0.0000
Cr 0.0000 0.0000 0.0000
B 0.5000 0.5000 0.5000
```

Summary:
- Mass density: 7.61 Mg/m³
- Excess energy over the best structure of this formula in the dataset: 0.0 meV/atom



(8)
First-principles (PBE) data for a relaxed Tl3CrB crystal, as listed in the Alexandria database. Values from VASP.

Geometry as Quantum ESPRESSO input:
```
&SYSTEM
  ibrav = 0, nat = 5, ntyp = 3
/
ATOMIC_SPECIES
Tl 204.38 Tl.upf
Cr 52.00 Cr.upf
B 10.81 B.upf
CELL_PARAMETERS angstrom
4.8810 0.0000 0.0000
0.0000 4.8810 0.0000
0.0000 0.0000 4.8810
ATOMIC_POSITIONS crystal
Tl 0.0000 0.0000 0.5000
Tl 0.0000 0.5000 0.0000
Tl 0.5000 0.0000 0.0000
Cr 0.5000 0.5000 0.5000
B 0.0000 0.0000 0.0000
```

Summary:
- Mass density: 9.65 Mg/m³
- Excess energy over the best structure of this formula in the dataset: 111.3 meV/atom



(9)
First-principles (PBE) data for a relaxed TlCr2B crystal, as listed in the Alexandria database. Values from VASP.

Geometry as Quantum ESPRESSO input:
```
&SYSTEM
  ibrav = 0, nat = 8, ntyp = 3
/
ATOMIC_SPECIES
Tl 204.38 Tl.upf
Cr 52.00 Cr.upf
B 10.81 B.upf
CELL_PARAMETERS angstrom
-2.0249 2.0249 7.6485
2.0249 -2.0249 7.6485
2.0249 2.0249 -7.6485
ATOMIC_POSITIONS crystal
Tl 0.0000 0.0000 0.0000
Tl 0.7500 0.2500 0.5000
Cr 0.2966 0.6250 0.1716
Cr 0.3750 0.5466 0.6716
Cr 0.4534 0.1250 0.8284
Cr 0.8750 0.7034 0.3284
B 0.2500 0.7500 0.5000
B 0.5000 0.5000 0.0000
```

Summary:
- Mass density: 8.45 Mg/m³
- Excess energy over the best structure of this formula in the dataset: 0.0 meV/atom



(10)
First-principles (PBE) data for a relaxed TlCr2B crystal, as listed in the Alexandria database. Values from VASP.

Geometry as Quantum ESPRESSO input:
```
&SYSTEM
  ibrav = 0, nat = 4, ntyp = 3
/
ATOMIC_SPECIES
Tl 204.38 Tl.upf
Cr 52.00 Cr.upf
B 10.81 B.upf
CELL_PARAMETERS angstrom
0.0000 2.9720 2.9720
2.9720 0.0000 2.9720
2.9720 2.9720 0.0000
ATOMIC_POSITIONS crystal
Tl 0.0000 0.0000 0.0000
Cr 0.2500 0.2500 0.2500
Cr 0.7500 0.7500 0.7500
B 0.5000 0.5000 0.5000
```

Summary:
- Mass density: 10.09 Mg/m³
- Excess energy over the best structure of this formula in the dataset: 145.1 meV/atom



(11)
First-principles (PBE) data for a relaxed Tl2CrB crystal, as listed in the Alexandria database. Values from VASP.

Geometry as Quantum ESPRESSO input:
```
&SYSTEM
  ibrav = 0, nat = 4, ntyp = 3
/
ATOMIC_SPECIES
Tl 204.38 Tl.upf
Cr 52.00 Cr.upf
B 10.81 B.upf
CELL_PARAMETERS angstrom
0.0000 3.4319 3.4319
3.4319 0.0000 3.4319
3.4319 3.4319 0.0000
ATOMIC_POSITIONS crystal
Tl 0.2500 0.2500 0.2500
Tl 0.7500 0.7500 0.7500
Cr 0.0000 0.0000 0.0000
B 0.5000 0.5000 0.5000
```

Summary:
- Mass density: 9.69 Mg/m³
- Excess energy over the best structure of this formula in the dataset: 421.4 meV/atom



(12)
First-principles (PBE) data for a relaxed TmCrB2 crystal, as listed in the Alexandria database. Values from VASP.

Geometry as Quantum ESPRESSO input:
```
&SYSTEM
  ibrav = 0, nat = 4, ntyp = 3
/
ATOMIC_SPECIES
Tm 168.93 Tm.upf
Cr 52.00 Cr.upf
B 10.81 B.upf
CELL_PARAMETERS angstrom
1.7632 1.0180 4.6908
-1.7632 1.0180 4.6908
0.0000 -2.0359 4.6908
ATOMIC_POSITIONS crystal
Tm 0.0000 0.0000 0.0000
Cr 0.5000 0.5000 0.5000
B 0.2083 0.2083 0.2083
B 0.7917 0.7917 0.7917
```

Summary:
- Mass density: 7.97 Mg/m³



no.,spin magnetization (μB per cell),ΔE_f (kcal/mol of atoms)
1,0.00,51.21
2,0.00,42.90
3,0.27,71.36
4,2.60,11.28
5,0.71,28.62
6,6.71,19.45
7,2.50,31.65
8,0.59,34.22
9,0.00,24.97
10,0.38,28.31
11,4.39,29.17
12,1.35,-1.25